(1)
# PBE-GGA Cs2PuInO6, relaxed
data_Cs2PuInO6
_chemical_formula_sum 'Cs2 Pu1 In1 O6'
_space_group_name_H-M_alt 'P 1'
_space_group_IT_number 1
_cell_length_a 6.144
_cell_length_b 6.144
_cell_length_c 6.144
_cell_angle_alpha 60.00
_cell_angle_beta 60.00
_cell_angle_gamma 60.00
loop_
_space_group_symop_operation_xyz
'x,y,z'
loop_
_atom_site_label
_atom_site_type_symbol
_atom_site_fract_x
_atom_site_fract_y
_atom_site_fract_z
Cs1 Cs 0.750 0.750 0.750
Cs2 Cs 0.250 0.250 0.250
Pu1 Pu 0.000 0.000 0.000
In1 In 0.500 0.500 0.500
O1 O 0.236 0.764 0.764
O2 O 0.236 0.764 0.236
O3 O 0.236 0.236 0.764
O4 O 0.764 0.764 0.236
O5 O 0.764 0.236 0.236
O6 O 0.764 0.236 0.764
# - formation energy from raw total energies (eV per atom) = -1.894
# - final energy (eV for the cell shown) = -67.5
# - SG = No. 225

(2)
# PBE-GGA CeUS2O, relaxed
data_CeUS2O
_chemical_formula_sum 'Ce2 U2 S4 O2'
_space_group_name_H-M_alt 'P 1'
_space_group_IT_number 1
_cell_length_a 3.871
_cell_length_b 3.871
_cell_length_c 13.318
_cell_angle_alpha 90.00
_cell_angle_beta 90.00
_cell_angle_gamma 90.00
loop_
_space_group_symop_operation_xyz
'x,y,z'
loop_
_atom_site_label
_atom_site_type_symbol
_atom_site_fract_x
_atom_site_fract_y
_atom_site_fract_z
Ce1 Ce 0.500 0.000 0.597
Ce2 Ce 0.000 0.500 0.403
U1 U 0.500 0.000 0.102
U2 U 0.000 0.500 0.898
S1 S 0.000 0.500 0.697
S2 S 0.000 0.500 0.108
S3 S 0.500 0.000 0.892
S4 S 0.500 0.000 0.303
O1 O 0.000 0.000 0.500
O2 O 0.500 0.500 0.500
# - formation energy from raw total energies (eV per atom) = -2.219
# - final energy (eV for the cell shown) = -83.1
# - SG = No. 129

(3)
# PBE-GGA BIr, relaxed
data_BIr
_chemical_formula_sum 'B8 Ir8'
_space_group_name_H-M_alt 'P 1'
_space_group_IT_number 1
_cell_length_a 6.500
_cell_length_b 6.500
_cell_length_c 6.500
_cell_angle_alpha 90.00
_cell_angle_beta 90.00
_cell_angle_gamma 90.00
loop_
_space_group_symop_operation_xyz
'x,y,z'
loop_
_atom_site_label
_atom_site_type_symbol
_atom_site_fract_x
_atom_site_fract_y
_atom_site_fract_z
B1 B 0.165 0.165 0.165
B2 B 0.165 0.835 0.835
B3 B 0.835 0.165 0.835
B4 B 0.835 0.835 0.165
B5 B 0.665 0.665 0.665
B6 B 0.665 0.335 0.335
B7 B 0.335 0.665 0.335
B8 B 0.335 0.335 0.665
Ir1 Ir 0.344 0.344 0.344
Ir2 Ir 0.344 0.656 0.656
Ir3 Ir 0.656 0.344 0.656
Ir4 Ir 0.656 0.656 0.344
Ir5 Ir 0.844 0.844 0.844
Ir6 Ir 0.844 0.156 0.156
Ir7 Ir 0.156 0.844 0.156
Ir8 Ir 0.156 0.156 0.844
# - energy relative to the elements (eV/atom) = 0.4137
# - final energy (eV for the cell shown) = -117.7
# - SG = No. 217

(4)
# PBE-GGA TbNdTm4, relaxed
data_TbNdTm4
_chemical_formula_sum 'Tb1 Nd1 Tm4'
_space_group_name_H-M_alt 'P 1'
_space_group_IT_number 1
_cell_length_a 3.535
_cell_length_b 12.703
_cell_length_c 13.645
_cell_angle_alpha 158.57
_cell_angle_beta 59.05
_cell_angle_gamma 123.55
loop_
_space_group_symop_operation_xyz
'x,y,z'
loop_
_atom_site_label
_atom_site_type_symbol
_atom_site_fract_x
_atom_site_fract_y
_atom_site_fract_z
Tb1 Tb 0.000 0.000 0.000
Nd1 Nd 0.500 0.000 0.500
Tm1 Tm 0.831 0.666 0.500
Tm2 Tm 0.169 0.334 0.500
Tm3 Tm 0.340 0.670 0.000
Tm4 Tm 0.660 0.330 0.000
# - energy relative to the elements (eV/atom) = 0.0232
# - final energy (eV for the cell shown) = -27.1
# - SG = No. 10

Which of these has the lowest final energy?
BIr